[1]
This record from Alexandria describes an optimized crystal structure of Ca2NiSb. The functional is GGA-PBE.

Unit cell a=4.3193 b=4.4755 c=10.9481 alpha=90.00 beta=90.00 gamma=90.00
Space group Amm2 (No. 38)
Inequivalent atoms, fractional coordinates:
Ca 0.0000 0.0000 0.0000 [2 per cell]
Ca 0.5000 0.0000 0.2851 [2 per cell]
Ni 0.0000 0.0000 0.7058 [2 per cell]
Sb 0.5000 0.0000 0.5814 [2 per cell]

Results
formation energy (no corrections) = -0.5159 eV per atom
ρ = 4.1 Mg/m³

---

[2]
This record from Alexandria describes an optimized crystal structure of CsMg3Tc. The functional is GGA-PBE.

Unit cell a=5.3716 b=5.3716 c=5.3716 alpha=90.00 beta=90.00 gamma=90.00
Space group Pm-3m (No. 221)
Inequivalent atoms, fractional coordinates:
Cs 0.0000 0.0000 0.0000 [1 per cell]
Mg 0.0000 0.5000 0.5000 [3 per cell]
Tc 0.5000 0.5000 0.5000 [1 per cell]

Results
ΔH_f (0 K) = 62.8 kJ/mol of atoms
ρ = 3.3 Mg/m³
ΔE to the lowest computed polymorph = 0 meV/atom

---

[3]
This record from Alexandria describes an optimized crystal structure of Pm3Si4Ni4. The functional is GGA-PBE.

Unit cell a=4.0662 b=4.0741 c=23.3508 alpha=90.00 beta=90.00 gamma=90.00
Space group Immm (No. 71)
Inequivalent atoms, fractional coordinates:
Pm 0.0000 0.0000 0.0000 [2 per cell]
Pm 0.0000 0.5000 0.3506 [4 per cell]
Si 0.0000 0.0000 0.4482 [4 per cell]
Si 0.0000 0.5000 0.1997 [4 per cell]
Ni 0.0000 0.0000 0.2489 [4 per cell]
Ni 0.0000 0.5000 0.0992 [4 per cell]

Results
formation energy (no corrections) = -0.7894 eV per atom
ρ = 6.7 Mg/m³
ΔE to the lowest computed polymorph = 0 meV/atom

---

[4]
This record from Alexandria describes an optimized crystal structure of InSi2Pt2. The functional is GGA-PBE.

Unit cell a=7.6435 b=7.6435 c=2.8892 alpha=90.00 beta=90.00 gamma=90.00
Space group P4/mbm (No. 127)
Inequivalent atoms, fractional coordinates:
In 0.0000 0.0000 0.0000 [2 per cell]
Si 0.1503 0.3497 0.5000 [4 per cell]
Pt 0.1355 0.6355 0.0000 [4 per cell]

Results
formation energy (no corrections) = -0.1840 eV per atom
ρ = 11.0 Mg/m³

---

[5]
This record from Alexandria describes an optimized crystal structure of HfCuSeN2. The functional is GGA-PBE.

Unit cell a=4.0225 b=4.0225 c=5.7113 alpha=90.00 beta=90.00 gamma=90.00
Space group P4/mmm (No. 123)
Inequivalent atoms, fractional coordinates:
Hf 0.0000 0.0000 0.0000 [1 per cell]
Cu 0.5000 0.5000 0.5000 [1 per cell]
Se 0.0000 0.0000 0.5000 [1 per cell]
N 0.0000 0.5000 0.0000 [2 per cell]

Results
formation energy (no corrections) = 0.4739 eV per atom
ρ = 6.3 Mg/m³
ΔE to the lowest computed polymorph = 0 meV/atom

---

[6]
This record from Alexandria describes an optimized crystal structure of Cs2AgPtN. The functional is GGA-PBE.

Unit cell a=6.7249 b=6.7249 c=3.7378 alpha=90.00 beta=90.00 gamma=90.00
Space group P4/mmm (No. 123)
Inequivalent atoms, fractional coordinates:
Cs 0.0000 0.5000 0.0000 [2 per cell]
Ag 0.0000 0.0000 0.5000 [1 per cell]
Pt 0.5000 0.5000 0.5000 [1 per cell]
N 0.5000 0.5000 0.0000 [1 per cell]

Results
formation energy (no corrections) = -0.0360 eV per atom
ρ = 5.7 Mg/m³
ΔE to the lowest computed polymorph = 0 meV/atom

---

[7]
This record from Alexandria describes an optimized crystal structure of AlNi. The functional is GGA-PBE.

Unit cell a=3.3862 b=3.6108 c=8.0052 alpha=90.00 beta=90.00 gamma=90.00
Space group Imma (No. 74)
Inequivalent atoms, fractional coordinates:
Al 0.0000 0.2500 0.1221 [4 per cell]
Ni 0.0000 0.2500 0.6241 [4 per cell]

Results
ΔH_f (0 K) = -55.5 kJ/mol of atoms
ρ = 5.8 Mg/m³

---

[8]
This record from Alexandria describes an optimized crystal structure of Cs12Rb5Cl2. The functional is GGA-PBE.

Unit cell a=27.7593 b=11.2617 c=13.2019 alpha=90.00 beta=118.19 gamma=90.00
Space group C2/m (No. 12)
Inequivalent atoms, fractional coordinates:
Cs 0.0007 0.0000 0.3063 [4 per cell]
Cs 0.0016 0.5000 0.3360 [4 per cell]
Cs 0.1355 0.2156 0.1348 [8 per cell]
Cs 0.1425 0.2423 0.6442 [8 per cell]
Rb 0.0000 0.5000 0.0000 [2 per cell]
Rb 0.2349 0.5000 0.4709 [4 per cell]
Rb 0.2347 0.5000 0.9988 [4 per cell]
Cl 0.0000 0.2395 0.5000 [4 per cell]

Results
formation energy (no corrections) = -0.3632 eV per atom
ρ = 1.9 Mg/m³